[1]
First-principles (PBE) data for Ba2Tm2Sb2O after structural relaxation, as listed in OQMD via LeMat-Bulk.

a b c (Å): 5.093 5.093 19.773
angles (deg): 90.00 90.00 120.00
Fractional coordinates of all 14 atoms:
Ba: 0.000 0.000 0.000
Ba: 0.000 0.000 0.250
Ba: 0.000 0.000 0.500
Ba: 0.000 0.000 0.750
Tm: 0.333 0.667 0.143
Tm: 0.333 0.667 0.357
Tm: 0.667 0.333 0.643
Tm: 0.667 0.333 0.857
Sb: 0.333 0.667 0.609
Sb: 0.333 0.667 0.891
Sb: 0.667 0.333 0.109
Sb: 0.667 0.333 0.391
O: 0.333 0.667 0.250
O: 0.667 0.333 0.750

---

[2]
First-principles (PBE) data for CdTcMo after structural relaxation, as listed in OQMD via LeMat-Bulk.

a b c (Å): 3.662 3.662 5.292
angles (deg): 90.00 90.00 90.00
Fractional coordinates of all 3 atoms:
Cd: 0.000 0.000 0.000
Tc: 0.500 0.500 0.000
Mo: 0.000 0.000 0.500

Computed properties:
As for the distance to the lowest polymorph of the same formula: 1691.6 meV per atom. Its energy relative to the elements is 2.560 eV per atom.

---

[3]
First-principles (PBE) data for TmHgOs after structural relaxation, as listed in OQMD via LeMat-Bulk.

a b c (Å): 6.590 6.590 6.590
angles (deg): 90.00 90.00 90.00
Fractional coordinates of all 12 atoms:
Tm: 0.000 0.000 0.000
Tm: 0.000 0.500 0.500
Tm: 0.500 0.000 0.500
Tm: 0.500 0.500 0.000
Hg: 0.250 0.250 0.750
Hg: 0.250 0.750 0.250
Hg: 0.750 0.250 0.250
Hg: 0.750 0.750 0.750
Os: 0.250 0.250 0.250
Os: 0.250 0.750 0.750
Os: 0.750 0.250 0.750
Os: 0.750 0.750 0.250

Computed properties:
As for the distance to the lowest polymorph of the same formula: 390.8 meV per atom. Its energy relative to the elements is 0.753 eV per atom.

---

[4]
First-principles (PBE) data for Pr4InSn3 after structural relaxation, as listed in OQMD via LeMat-Bulk.

a b c (Å): 4.429 4.722 11.874
angles (deg): 90.00 90.00 90.00
Fractional coordinates of all 8 atoms:
Pr: 0.000 0.000 0.000
Pr: 0.000 0.500 0.499
Pr: 0.500 0.000 0.273
Pr: 0.500 0.500 0.775
In: 0.500 0.000 0.553
Sn: 0.000 0.000 0.721
Sn: 0.000 0.500 0.224
Sn: 0.500 0.500 0.049

---

Number 1: E -5.094 eV per atom. Number 2: E -4.808 eV per atom. Number 3: E -4.580 eV per atom. Number 4: E -4.950 eV per atom.